No. 1
An optimized crystal structure of Ge4PdPt5, computed with PBE.

a b c (Å): 8.2376 8.4449 5.5283
angles (deg): 90.00 90.00 90.00
Closest atoms and distances in Å follow each position.
Space group Pmmn (No. 59, origin choice 2)
Unique sites:
Ge1 0.0013 0.2500 0.0459 [4 per cell]  5 Pt 2.47-2.60, 1 Pd 2.60
Ge2 0.2500 0.0110 0.4905 [4 per cell]  5 Pt 2.47-2.54, 1 Pd 2.61
Pd1 0.2500 0.7500 0.2388 [2 per cell]  4 Ge 2.60-2.61, 4 Pt 2.90
Pt1 0.0016 0.0101 0.7517 [8 per cell]  4 Ge 2.47-2.60, 1 Pt 2.75
Pt2 0.2500 0.2500 0.7680 [2 per cell]  4 Ge 2.54-2.56

D(E_F) ... 5.24 states/eV per cell
Calculated total energy ... -5.717 eV/atom
ΔE_f ... -0.33 eV per atom
Size of the total moment ... 0.000 μB per atom

---

No. 2
An optimized crystal structure of Dy2Ga3NiPt4, computed with PBE.

a b c (Å): 4.0520 4.0520 11.1034
angles (deg): 90.00 90.00 90.00
Closest atoms and distances in Å follow each position.
Space group P-4m2 (No. 115)
Unique sites:
Dy1 0.0000 0.5000 0.2372 [2 per cell]  4 Pt 3.05, 6 Ga 3.19-3.32, 2 Ni 3.32
Ga1 0.0000 0.0000 0.0000 [1 per cell]  4 Pt 2.57, 4 Ni 2.87
Ga2 0.0000 0.5000 0.6361 [2 per cell]  5 Pt 2.46-2.53
Ni1 0.5000 0.5000 0.0000 [1 per cell]  4 Pt 2.57, 4 Ga 2.87
Pt1 0.0000 0.0000 0.5000 [1 per cell]  4 Ga 2.53
Pt2 0.0000 0.5000 0.8575 [2 per cell]  3 Ga 2.46-2.57, 2 Ni 2.57
Pt3 0.5000 0.5000 0.5000 [1 per cell]  4 Ga 2.53

D(E_F) ... 6.07 states/eV per cell
Calculated total energy ... -5.700 eV/atom
ΔE_f ... -0.88 eV per atom
Size of the total moment ... 0.000 μB per atom

---

No. 3
An optimized crystal structure of MnCr2Rh, computed with PBE.

a b c (Å): 2.6279 3.5764 5.2320
angles (deg): 90.00 90.00 90.00
Closest atoms and distances in Å follow each position.
Space group Pmmm (No. 47)
Unique sites:
Mn1 0.0000 0.0000 0.0000 [1 per cell]  8 Cr 2.53, 2 Rh 2.62, 2 Mn 2.63
Cr1 0.5000 0.5000 0.2328 [2 per cell]  3 Cr 2.44-2.63, 4 Mn 2.53, 4 Rh 2.62
Rh1 0.0000 0.0000 0.5000 [1 per cell]  2 Mn 2.62, 8 Cr 2.62, 2 Rh 2.63

D(E_F) ... 5.14 states/eV per cell
Distance to the lowest polymorph of the same formula ... 7.19 kJ/mol of atoms
Calculated total energy ... -8.871 eV/atom
ΔE_f ... 0.07 eV per atom
Size of the total moment ... 0.151 μB per atom

---

No. 4
An optimized crystal structure of Pr4Si2I5, computed with PBE.

a b c (Å): 4.3708 8.8058 20.5285
angles (deg): 90.00 90.00 90.00
Closest atoms and distances in Å follow each position.
Space group Immm (No. 71)
Unique sites:
Pr1 0.0000 0.0000 0.1866 [4 per cell]  1 Si 2.71
Pr2 0.0000 0.2913 0.5000 [4 per cell]  4 Si 3.07, 2 I 3.37
Si1 0.0000 0.0000 0.0544 [4 per cell]  1 Si 2.23
I1 0.0000 0.2263 0.3311 [8 per cell]  4 Pr 3.27-3.57
I2 0.0000 0.5000 0.0000 [2 per cell]  4 Pr 3.37

D(E_F) ... 8.58 states/eV per cell
Calculated total energy ... -4.446 eV/atom
ΔE_f (raw) ... -1.02 eV/atom
Size of the total moment ... 0.000 μB per atom

---

No. 5
An optimized crystal structure of BaLi2CaZn, computed with PBE.

a b c (Å): 5.3967 5.3967 5.6651
angles (deg): 90.00 90.00 90.00
Closest atoms and distances in Å follow each position.
Space group P4/mmm (No. 123)
Unique sites:
Ba1 0.0000 0.0000 0.0000 [1 per cell]  4 Ca 3.82, 8 Li 3.91
Li1 0.0000 0.5000 0.5000 [2 per cell]  2 Zn 2.70
Ca1 0.5000 0.5000 0.0000 [1 per cell]  2 Zn 2.83
Zn1 0.5000 0.5000 0.5000 [1 per cell]  4 Li 2.70, 2 Ca 2.83

D(E_F) ... 3.88 states/eV per cell
Calculated total energy ... -1.751 eV/atom
ΔE_f ... 0.05 eV per atom
Size of the total moment ... 0.000 μB per atom

---

No. 6
An optimized crystal structure of SiPSe3, computed with PBE.

a b c (Å): 4.8260 4.8260 4.8260
angles (deg): 90.00 90.00 90.00
Closest atoms and distances in Å follow each position.
Space group Pm-3m (No. 221)
Unique sites:
Si1 0.0000 0.0000 0.0000 [1 per cell]  12 Se 3.41
P1 0.5000 0.5000 0.5000 [1 per cell]  6 Se 2.41
Se1 0.0000 0.5000 0.5000 [3 per cell]  2 P 2.41

D(E_F) ... 1.94 states/eV per cell
Distance to the lowest polymorph of the same formula ... 0.00 kJ/mol of atoms
Calculated total energy ... -3.646 eV/atom
ΔE_f (raw) ... 0.61 eV/atom
Size of the total moment ... 0.000 μB per atom

---

No. 7
An optimized crystal structure of Sb2IrAu, computed with PBE.

a b c (Å): 3.0786 3.4202 8.1873
angles (deg): 90.00 90.00 90.00
Closest atoms and distances in Å follow each position.
Space group Pmmm (No. 47)
Unique sites:
Sb1 0.0000 0.0000 0.2079 [2 per cell]  4 Ir 2.86, 2 Au 2.94, 2 Sb 3.08
Ir1 0.5000 0.5000 0.0000 [1 per cell]  8 Sb 2.86, 2 Ir 3.08
Au1 0.0000 0.5000 0.5000 [1 per cell]  4 Sb 2.94, 2 Au 3.08

D(E_F) ... 2.33 states/eV per cell
Distance to the lowest polymorph of the same formula ... 10.23 kJ/mol of atoms
Calculated total energy ... -4.997 eV/atom
ΔE_f (raw) ... 0.10 eV/atom
Size of the total moment ... 0.000 μB per atom

---

No. 8
An optimized crystal structure of MgPaGaGe, computed with PBE.

a b c (Å): 6.9021 6.9021 6.9021
angles (deg): 90.00 90.00 90.00
Closest atoms and distances in Å follow each position.
Space group F-43m (No. 216)
Unique sites:
Mg1 0.0000 0.0000 0.0000 [4 per cell]  4 Ge 2.99, 4 Ga 2.99
Pa1 0.0000 0.0000 0.5000 [4 per cell]  4 Ge 2.99, 4 Ga 2.99
Ga1 0.2500 0.2500 0.7500 [4 per cell]  4 Pa 2.99, 4 Mg 2.99
Ge1 0.2500 0.2500 0.2500 [4 per cell]  4 Pa 2.99, 4 Mg 2.99

D(E_F) ... 19.66 states/eV per cell
Distance to the lowest polymorph of the same formula ... 8.97 kJ/mol of atoms
Calculated total energy ... -4.899 eV/atom
ΔE_f ... -0.21 eV per atom
Size of the total moment ... 0.001 μB per atom

---

Number 3 is which compound? MnCr2Rh

---

Which value of size of the total moment does entry 8 give? 0.001 μB per atom

---

The lowest calculated total energy belongs to which entry? MnCr2Rh